Computed, not measured: a relaxed Tl2RuSe crystal at the PBE level of DFT.

Properties
The calculation puts the total energy at -14.57 eV/cell. The value obtained for the energy above the most stable polymorph in this dataset is 63.3 kJ per mole of atoms. The calculation puts the energy relative to the elements, uncorrected at 0.73 eV per atom.

Geometry as extended XYZ:
```
4
Lattice="0.000 3.542 3.542 3.542 0.000 3.542 3.542 3.542 0.000" Properties=species:S:1:pos:R:3 pbc="T T T"
Tl 1.771 1.771 1.771
Tl 5.313 5.313 5.313
Ru 0.000 0.000 0.000
Se 3.542 3.542 3.542
```

---

Computed, not measured: a relaxed La3Tb4Dy8 crystal at the PBE level of DFT.

Properties
The calculation puts the total energy at -64.43 eV/cell. As for the energy relative to the elements: 0.38 eV per atom.

Geometry as extended XYZ:
```
15
Lattice="6.732 -6.435 0.000 6.732 6.435 0.000 -3.427 0.000 5.870" Properties=species:S:1:pos:R:3 pbc="T T T"
La 0.000 0.000 0.000
La 1.652 3.218 2.935
La 1.652 -3.218 2.935
Tb 3.366 3.218 0.000
Tb 3.366 -3.218 0.000
Tb 6.732 0.000 0.000
Tb 5.018 0.000 2.935
Dy 5.018 4.619 2.935
Dy 1.445 0.000 2.913
Dy -0.149 0.000 5.729
Dy 6.732 3.278 0.000
Dy 6.732 -3.278 0.000
Dy 10.186 0.000 0.140
Dy 8.591 0.000 2.956
Dy 5.018 -4.619 2.935
```

---

Computed, not measured: a relaxed CaHf2Zr3N6 crystal at the PBE level of DFT.

Properties
The calculation puts the total energy at -117.31 eV/cell. The calculation puts the energy relative to the elements, uncorrected at -1.65 eV per atom.

Geometry as extended XYZ:
```
12
Lattice="7.126 -1.626 0.000 7.126 1.626 0.000 -1.517 0.000 6.392" Properties=species:S:1:pos:R:3 pbc="T T T"
Ca 0.000 0.000 0.000
Hf 3.767 0.000 4.259
Hf 8.969 0.000 2.134
Zr -0.758 0.000 3.196
Zr 4.537 0.000 1.089
Zr 8.198 0.000 5.303
N 1.543 0.000 3.692
N 2.311 0.000 0.604
N 5.947 0.000 4.698
N 6.788 0.000 1.694
N 10.424 0.000 5.789
N 11.193 0.000 2.701
```

---

Computed, not measured: a relaxed Sb2TeOsBr crystal at the PBE level of DFT.

Properties
The calculation puts the total energy at -14.19 eV/cell. The value obtained for the energy above the most stable polymorph in this dataset is 144.0 kJ per mole of atoms. The calculation puts the energy relative to the elements, uncorrected at 2.02 eV per atom.

Geometry as extended XYZ:
```
5
Lattice="5.255 0.000 0.000 0.000 5.255 0.000 0.000 0.000 5.385" Properties=species:S:1:pos:R:3 pbc="T T T"
Sb 0.000 2.628 0.000
Sb 2.628 0.000 0.000
Te 0.000 0.000 2.692
Os 2.628 2.628 2.692
Br 0.000 0.000 0.000
```

---

Computed, not measured: a relaxed LiAlPd crystal at the PBE level of DFT.

Properties
The calculation puts the total energy at -12.59 eV/cell. As for the energy relative to the elements: -0.58 eV per atom.

Geometry as extended XYZ:
```
3
Lattice="4.207 0.000 0.000 -2.104 3.643 0.000 0.000 0.000 2.760" Properties=species:S:1:pos:R:3 pbc="T T T"
Li 0.000 0.000 0.000
Al 0.000 2.429 0.914
Pd 2.104 1.214 1.933
```

---

Computed, not measured: a relaxed Ga2SiTe crystal at the PBE level of DFT.

Properties
The calculation puts the total energy at -13.22 eV/cell. The value obtained for the energy above the most stable polymorph in this dataset is 48.4 kJ per mole of atoms. The calculation puts the energy relative to the elements, uncorrected at 0.35 eV per atom.

Geometry as extended XYZ:
```
4
Lattice="0.000 3.489 3.489 3.489 0.000 3.489 3.489 3.489 0.000" Properties=species:S:1:pos:R:3 pbc="T T T"
Ga 1.744 1.744 1.744
Ga 5.233 5.233 5.233
Si 0.000 0.000 0.000
Te 3.489 3.489 3.489
```

---

Computed, not measured: a relaxed Na2TlIn7 crystal at the PBE level of DFT.

Properties
The calculation puts the total energy at -21.07 eV/cell. As for the energy relative to the elements: 0.31 eV per atom.

Geometry as extended XYZ:
```
10
Lattice="-4.079 4.079 5.829 4.079 -4.079 5.829 4.079 4.079 -5.829" Properties=species:S:1:pos:R:3 pbc="T T T"
Na 4.079 0.000 2.915
Na 0.000 4.079 2.915
Tl 0.000 0.000 0.000
In 2.060 2.060 0.000
In 2.019 -2.019 5.829
In 0.000 0.000 2.945
In 0.000 0.000 5.829
In 0.000 0.000 8.714
In -2.019 2.019 5.829
In 2.019 2.019 5.829
```

---

Computed, not measured: a relaxed Cs3LiCl4 crystal at the PBE level of DFT.

Properties
The calculation puts the total energy at -25.63 eV/cell. The value obtained for the energy above the most stable polymorph in this dataset is 18.4 kJ per mole of atoms. The calculation puts the energy relative to the elements, uncorrected at -1.72 eV per atom.

Geometry as extended XYZ:
```
8
Lattice="8.098 0.000 0.000 0.000 8.098 0.000 0.000 0.000 4.023" Properties=species:S:1:pos:R:3 pbc="T T T"
Cs 0.000 0.000 0.000
Cs 0.000 4.049 0.000
Cs 4.049 0.000 0.000
Li 4.049 4.049 0.000
Cl 2.176 2.176 2.012
Cl 2.176 5.921 2.012
Cl 5.921 2.176 2.012
Cl 5.921 5.921 2.012
```

---

Computed, not measured: a relaxed TcSe2 crystal at the PBE level of DFT.

Properties
The calculation puts the total energy at -26.04 eV/cell. The calculation puts the energy relative to the elements, uncorrected at 1.44 eV per atom.

Geometry as extended XYZ:
```
6
Lattice="0.000 3.972 3.972 3.972 0.000 3.972 3.972 3.972 0.000" Properties=species:S:1:pos:R:3 pbc="T T T"
Tc 0.993 0.993 0.993
Tc 6.951 6.951 6.951
Se 3.972 1.986 1.986
Se 1.986 3.972 1.986
Se 1.986 1.986 3.972
Se 3.972 3.972 3.972
```

---

Computed, not measured: a relaxed PmPaSb2O8 crystal at the PBE level of DFT.

Properties
The calculation puts the total energy at -89.92 eV/cell. The calculation puts the energy relative to the elements, uncorrected at -2.31 eV per atom.

Geometry as extended XYZ:
```
12
Lattice="-3.660 3.660 3.590 3.660 -3.660 3.590 3.660 3.660 -3.590" Properties=species:S:1:pos:R:3 pbc="T T T"
Pm 0.000 0.000 0.000
Pa 0.000 3.660 1.795
Sb 3.660 0.000 1.795
Sb 0.000 0.000 3.590
O 2.324 0.000 0.438
O 4.996 0.000 0.438
O 3.660 2.154 -1.516
O 3.660 -1.336 3.151
O 0.000 1.507 2.074
O 3.660 1.336 3.151
O 2.154 3.660 1.516
O 1.507 0.000 5.105
```

---

Computed, not measured: a relaxed Li5Pd3 crystal at the PBE level of DFT.

Properties
The calculation puts the total energy at -28.19 eV/cell. As for the energy relative to the elements: -0.38 eV per atom.

Geometry as extended XYZ:
```
8
Lattice="0.000 3.039 6.047 3.031 0.000 6.047 3.031 3.039 0.000" Properties=species:S:1:pos:R:3 pbc="T T T"
Li 0.000 0.000 0.000
Li 1.515 1.520 1.593
Li 1.515 1.520 4.454
Li 4.546 4.559 7.640
Li 4.546 4.559 10.501
Pd 3.031 3.039 3.070
Pd 3.031 3.039 6.047
Pd 3.031 3.039 9.024
```

---

Computed, not measured: a relaxed Sm12CdCu6 crystal at the PBE level of DFT.

Properties
The calculation puts the total energy at -84.43 eV/cell. As for the energy relative to the elements: -0.12 eV per atom.

Geometry as extended XYZ:
```
19
Lattice="-5.039 5.039 5.039 5.039 -5.039 5.039 5.039 5.039 -5.039" Properties=species:S:1:pos:R:3 pbc="T T T"
Sm 5.039 -2.037 3.136
Sm 3.002 1.903 0.000
Sm 7.076 1.903 0.000
Sm 3.136 5.039 -2.037
Sm 1.903 0.000 3.002
Sm 0.000 3.002 1.903
Sm 5.039 2.037 3.136
Sm 3.136 5.039 2.037
Sm 1.903 0.000 7.076
Sm -2.037 3.136 5.039
Sm 2.037 3.136 5.039
Sm 0.000 7.076 1.903
Cd 0.000 0.000 0.000
Cu 5.039 0.000 1.232
Cu 5.039 3.807 0.000
Cu 1.232 5.039 0.000
Cu 3.807 0.000 5.039
Cu 0.000 1.232 5.039
Cu 0.000 5.039 3.807
```

---

Computed, not measured: a relaxed Cu3Re4 crystal at the PBE level of DFT.

Properties
The calculation puts the total energy at -60.07 eV/cell. As for the energy relative to the elements: 0.29 eV per atom. The value obtained for the energy above the most stable polymorph in this dataset is 2.9 kJ per mole of atoms.

Geometry as extended XYZ:
```
7
Lattice="4.695 0.000 0.000 -2.347 4.066 0.000 0.000 0.000 4.955" Properties=species:S:1:pos:R:3 pbc="T T T"
Cu -1.174 2.033 0.000
Cu 2.347 0.000 0.000
Cu 1.174 2.033 0.000
Re 0.000 0.000 1.256
Re 0.000 0.000 3.699
Re 0.000 2.710 2.477
Re 2.347 1.355 2.477
```

---

Computed, not measured: a relaxed LaPm3Hg6 crystal at the PBE level of DFT.

Properties
The calculation puts the total energy at -50.96 eV/cell. As for the energy relative to the elements: -0.45 eV per atom.

Geometry as extended XYZ:
```
20
Lattice="9.491 0.000 0.000 0.000 5.284 0.000 -3.415 0.000 10.935" Properties=species:S:1:pos:R:3 pbc="T T T"
La -0.678 1.321 4.183
La 6.754 3.963 6.752
Pm 2.129 1.321 0.049
Pm 0.620 3.963 8.768
Pm 2.588 1.321 6.721
Pm 3.488 3.963 4.214
Pm 5.456 1.321 2.167
Pm 3.947 3.963 10.886
Hg -2.509 3.963 9.916
Hg 0.634 3.963 2.235
Hg -0.720 1.321 7.537
Hg 0.601 3.963 5.649
Hg 2.348 1.321 3.180
Hg 4.065 3.963 1.008
Hg 2.011 1.321 9.927
Hg 3.727 3.963 7.755
Hg 5.475 1.321 5.286
Hg 6.796 3.963 3.398
Hg 5.442 1.321 8.700
Hg 8.584 1.321 1.019
```

---

Computed, not measured: a relaxed ZrCoMo2 crystal at the PBE level of DFT.

Properties
The calculation puts the total energy at -37.39 eV/cell. As for the energy relative to the elements: -0.02 eV per atom. The value obtained for the energy above the most stable polymorph in this dataset is 0.0 kJ per mole of atoms.

Geometry as extended XYZ:
```
4
Lattice="3.200 0.000 0.000 0.000 3.200 0.000 0.000 0.000 6.292" Properties=species:S:1:pos:R:3 pbc="T T T"
Zr 0.000 0.000 0.000
Co 1.600 1.600 1.578
Mo 0.000 0.000 3.074
Mo 1.600 1.600 4.506
```

---

Computed, not measured: a relaxed TbHoZnCd crystal at the PBE level of DFT.

Properties
The calculation puts the total energy at -12.73 eV/cell. As for the energy relative to the elements: -0.33 eV per atom. The value obtained for the energy above the most stable polymorph in this dataset is 0.0 kJ per mole of atoms.

Geometry as extended XYZ:
```
4
Lattice="3.593 0.000 0.000 0.000 3.593 0.000 0.000 0.000 7.560" Properties=species:S:1:pos:R:3 pbc="T T T"
Tb 0.000 0.000 0.000
Ho 0.000 0.000 3.477
Zn 1.796 1.796 1.775
Cd 1.796 1.796 5.488
```

---

Computed, not measured: a relaxed ZrAs2Pt crystal at the PBE level of DFT.

Properties
The calculation puts the total energy at -26.53 eV/cell. As for the energy relative to the elements: -0.66 eV per atom.

Geometry as extended XYZ:
```
4
Lattice="5.190 -1.825 0.000 5.190 1.825 0.000 -0.400 0.000 3.975" Properties=species:S:1:pos:R:3 pbc="T T T"
Zr 0.000 0.000 0.000
As 4.368 0.000 1.923
As 7.449 0.000 0.105
Pt 1.877 0.000 2.101
```